CsTbSe2O8: optimized geometry, PBE-GGA.

Unit cell a=5.571 b=5.571 c=9.174 alpha=90.00 beta=90.00 gamma=120.00
Fractional positions:
O 0.911 0.643 0.349
O 0.333 0.667 0.894
Cs 0.000 0.000 0.000
O 0.357 0.268 0.349
Se 0.667 0.333 0.285
O 0.667 0.333 0.106
Se 0.333 0.667 0.715
O 0.732 0.089 0.349
O 0.089 0.357 0.651
Tb 0.000 0.000 0.500
O 0.268 0.911 0.651
O 0.643 0.732 0.651

Properties
* volume: 20.55 Å³/atom
* E_form (uncorrected): -1.567 eV per atom
* space-group type: P-3, No. 147
* crystal system: trigonal
* DOS at the Fermi energy: 0.000 states/eV/atom
* E_tot: -70.922 eV for the cell shown